No. 1
{"formula": "LaScTl", "functional": "PBE", "state": "relaxed", "lattice": [[-2.315, 7.327, 4.053], [2.315, -7.327, 4.053], [2.315, 7.327, -4.053]], "species": ["La", "La", "La", "Sc", "Sc", "Sc", "Tl", "Tl", "Tl"], "fractional_positions": [[0.000, 0.000, 0.000], [0.512, 0.172, 0.339], [0.833, 0.172, 0.661], [0.205, 0.354, 0.851], [0.319, 0.819, 0.500], [0.503, 0.354, 0.149], [0.273, 0.601, 0.672], [0.597, 0.597, 0.000], [0.929, 0.601, 0.328]], "total_energy_ev_per_atom": -4.69, "ef_mev_per_atom": -146, "space_group": "No. 44", "de_polymorph_mev_per_atom": 143.8, "magmom_total_mub_per_fu": 0.56}

---

No. 2
{"formula": "Mg3NiS", "functional": "PBE", "state": "relaxed", "lattice": [[4.754, 0.000, 0.000], [0.000, 4.754, 0.000], [0.000, 0.000, 4.754]], "species": ["Mg", "Mg", "Mg", "Ni", "S"], "fractional_positions": [[0.000, 0.000, 0.500], [0.000, 0.500, 0.000], [0.500, 0.000, 0.000], [0.000, 0.000, 0.000], [0.500, 0.500, 0.500]], "total_energy_ev_per_atom": -2.86, "e_form_raw_ev_per_atom": 0.07, "space_group": "No. 221", "de_polymorph_mev_per_atom": 0.0, "magmom_total_mub_per_fu": 0.00}

---

No. 3
{"formula": "LaPr2Sm2Dy2", "functional": "PBE", "state": "relaxed", "lattice": [[5.949, -1.790, 0.000], [5.949, 1.790, 0.000], [-4.040, 0.000, 11.413]], "species": ["La", "Pr", "Pr", "Sm", "Sm", "Dy", "Dy"], "fractional_positions": [[0.000, 0.000, 0.000], [0.332, 0.332, 0.417], [0.668, 0.668, 0.583], [0.448, 0.448, 0.729], [0.552, 0.552, 0.271], [0.224, 0.224, 0.863], [0.776, 0.776, 0.137]], "total_energy_ev_per_atom": -4.65, "ef_mev_per_atom": 86, "space_group": "No. 12", "magmom_total_mub_per_fu": 0.00}

---

No. 4
{"formula": "TaRe2As", "functional": "PBE", "state": "relaxed", "lattice": [[-1.933, 1.933, 9.255], [1.933, -1.933, 9.255], [1.933, 1.933, -9.255]], "species": ["Ta", "Ta", "Re", "Re", "Re", "Re", "As", "As"], "fractional_positions": [[0.000, 0.000, 0.000], [0.750, 0.250, 0.500], [0.173, 0.625, 0.048], [0.375, 0.423, 0.548], [0.577, 0.125, 0.952], [0.875, 0.827, 0.452], [0.250, 0.750, 0.500], [0.500, 0.500, 0.000]], "total_energy_ev_per_atom": -9.82, "ef_mev_per_atom": 525, "space_group": "No. 122", "magmom_total_mub_per_fu": 0.00}

---

No. 5
{"formula": "Tb6Pr2Sm", "functional": "PBE", "state": "relaxed", "lattice": [[8.321, -5.854, 0.000], [8.321, 5.854, 0.000], [-0.733, 0.000, 6.091]], "species": ["Tb", "Tb", "Tb", "Tb", "Tb", "Tb", "Tb", "Tb", "Tb", "Tb", "Tb", "Tb", "Pr", "Pr", "Pr", "Pr", "Sm", "Sm"], "fractional_positions": [[0.091, 0.813, 0.985], [0.152, 0.424, 0.147], [0.187, 0.909, 0.515], [0.246, 0.522, 0.681], [0.424, 0.152, 0.647], [0.478, 0.754, 0.819], [0.522, 0.246, 0.181], [0.576, 0.848, 0.353], [0.754, 0.478, 0.319], [0.813, 0.091, 0.485], [0.848, 0.576, 0.853], [0.909, 0.187, 0.015], [0.066, 0.269, 0.579], [0.269, 0.066, 0.079], [0.731, 0.934, 0.921], [0.934, 0.731, 0.421], [0.401, 0.599, 0.250], [0.599, 0.401, 0.750]], "total_energy_ev_per_atom": -4.58, "ef_mev_per_atom": 95, "space_group": "No. 15", "de_polymorph_mev_per_atom": 0.0, "magmom_total_mub_per_fu": 0.00}

---

No. 6
{"formula": "RbThTlTe3", "functional": "PBE", "state": "relaxed", "lattice": [[9.567, 0.000, 0.000], [0.000, 4.661, 0.000], [-3.615, 0.000, 11.756]], "species": ["Rb", "Rb", "Th", "Th", "Tl", "Tl", "Te", "Te", "Te", "Te", "Te", "Te"], "fractional_positions": [[0.228, 0.250, 0.275], [0.772, 0.750, 0.725], [0.352, 0.750, 0.837], [0.648, 0.250, 0.163], [0.132, 0.250, 0.551], [0.868, 0.750, 0.449], [0.119, 0.250, 0.806], [0.367, 0.750, 0.594], [0.407, 0.750, 0.107], [0.593, 0.250, 0.893], [0.633, 0.250, 0.406], [0.881, 0.750, 0.194]], "total_energy_ev_per_atom": -4.34, "e_form_raw_ev_per_atom": -0.98, "space_group": "No. 11", "magmom_total_mub_per_fu": 0.00}

---

No. 7
{"formula": "CaHPb", "functional": "PBE", "state": "relaxed", "lattice": [[1.698, -6.792, 0.000], [1.698, 6.792, 0.000], [0.000, 0.000, 5.601]], "species": ["Ca", "Ca", "H", "H", "Pb", "Pb"], "fractional_positions": [[0.063, 0.937, 0.750], [0.937, 0.063, 0.250], [0.500, 0.500, 0.000], [0.500, 0.500, 0.500], [0.210, 0.790, 0.250], [0.790, 0.210, 0.750]], "total_energy_ev_per_atom": -3.34, "space_group": "No. 63", "de_polymorph_mev_per_atom": 146.4, "magmom_total_mub_per_fu": 0.00}

---

No. 8
{"formula": "FeMo2Ir", "functional": "PBE", "state": "relaxed", "lattice": [[0.000, 3.085, 3.085], [3.085, 0.000, 3.085], [3.085, 3.085, 0.000]], "species": ["Fe", "Mo", "Mo", "Ir"], "fractional_positions": [[0.000, 0.000, 0.000], [0.250, 0.250, 0.250], [0.500, 0.500, 0.500], [0.750, 0.750, 0.750]], "total_energy_ev_per_atom": -9.66, "ef_mev_per_atom": 86, "space_group": "No. 216", "de_polymorph_mev_per_atom": 160.0, "magmom_total_mub_per_fu": 3.01}

---

No. 9
{"formula": "K2AgBr", "functional": "PBE", "state": "relaxed", "lattice": [[4.045, 0.000, 0.000], [0.000, 4.045, 0.000], [0.000, 0.000, 8.272]], "species": ["K", "K", "Ag", "Br"], "fractional_positions": [[0.000, 0.000, 0.237], [0.000, 0.000, 0.763], [0.500, 0.500, 0.500], [0.500, 0.500, 0.000]], "total_energy_ev_per_atom": -2.46, "e_form_raw_ev_per_atom": -0.78, "space_group": "No. 123", "de_polymorph_mev_per_atom": 16.1, "magmom_total_mub_per_fu": 0.00}

---

No. 10
{"formula": "Ac2PuTe6", "functional": "PBE", "state": "relaxed", "lattice": [[7.816, -4.169, 0.000], [7.816, 4.169, 0.000], [-0.564, 0.000, 5.268]], "species": ["Ac", "Ac", "Pu", "Te", "Te", "Te", "Te", "Te", "Te"], "fractional_positions": [[0.166, 0.166, 0.166], [0.834, 0.834, 0.834], [0.500, 0.500, 0.500], [0.096, 0.581, 0.335], [0.264, 0.736, 0.000], [0.419, 0.904, 0.665], [0.581, 0.096, 0.335], [0.736, 0.264, 0.000], [0.904, 0.419, 0.665]], "total_energy_ev_per_atom": -5.71, "e_form_raw_ev_per_atom": -1.11, "space_group": "No. 12", "magmom_total_mub_per_fu": 5.23}

---

No. 11
{"formula": "SrTa2S", "functional": "PBE", "state": "relaxed", "lattice": [[-2.416, 2.416, 9.021], [2.416, -2.416, 9.021], [2.416, 2.416, -9.021]], "species": ["Sr", "Sr", "Ta", "Ta", "Ta", "Ta", "S", "S"], "fractional_positions": [[0.000, 0.000, 0.000], [0.750, 0.250, 0.500], [0.314, 0.125, 0.689], [0.375, 0.686, 0.811], [0.436, 0.625, 0.311], [0.875, 0.564, 0.189], [0.250, 0.750, 0.500], [0.500, 0.500, 0.000]], "total_energy_ev_per_atom": -6.86, "e_form_raw_ev_per_atom": 0.52, "space_group": "No. 122", "magmom_total_mub_per_fu": 0.00}

---

No. 12
{"formula": "NdHo3Rh", "functional": "PBE", "state": "relaxed", "lattice": [[5.404, 0.000, 0.000], [0.000, 5.404, 0.000], [0.000, 0.000, 5.404]], "species": ["Nd", "Ho", "Ho", "Ho", "Rh"], "fractional_positions": [[0.000, 0.000, 0.000], [0.000, 0.500, 0.500], [0.500, 0.000, 0.500], [0.500, 0.500, 0.000], [0.500, 0.500, 0.500]], "total_energy_ev_per_atom": -5.43, "ef_mev_per_atom": -264, "space_group": "No. 221", "de_polymorph_mev_per_atom": 36.2, "magmom_total_mub_per_fu": 0.28}

---

No. 13
{"formula": "Ba2CrSb", "functional": "PBE", "state": "relaxed", "lattice": [[5.661, 0.000, 0.000], [0.000, 5.661, 0.000], [0.000, 0.000, 4.617]], "species": ["Ba", "Ba", "Cr", "Sb"], "fractional_positions": [[0.000, 0.500, 0.000], [0.500, 0.000, 0.000], [0.000, 0.000, 0.500], [0.500, 0.500, 0.500]], "total_energy_ev_per_atom": -4.51, "e_form_raw_ev_per_atom": -0.11, "space_group": "No. 123", "magmom_total_mub_per_fu": 5.06}

---

No. 14
{"formula": "Np2Pt3Rh3", "functional": "PBE", "state": "relaxed", "lattice": [[3.967, 0.000, 0.000], [0.000, 4.085, 0.000], [0.000, 0.000, 8.413]], "species": ["Np", "Np", "Pt", "Pt", "Pt", "Rh", "Rh", "Rh"], "fractional_positions": [[0.000, 0.000, 0.244], [0.000, 0.000, 0.756], [0.000, 0.500, 0.000], [0.000, 0.500, 0.500], [0.500, 0.000, 0.500], [0.500, 0.000, 0.000], [0.500, 0.500, 0.250], [0.500, 0.500, 0.750]], "total_energy_ev_per_atom": -8.81, "ef_mev_per_atom": -549, "space_group": "No. 47", "magmom_total_mub_per_fu": 4.29}

---

No. 15
{"formula": "LaPm4Nd2Mg", "functional": "PBE", "state": "relaxed", "lattice": [[6.865, -6.652, 0.000], [6.865, 6.652, 0.000], [-3.454, 0.000, 5.958]], "species": ["La", "La", "Pm", "Pm", "Pm", "Pm", "Pm", "Pm", "Pm", "Pm", "Nd", "Nd", "Nd", "Nd", "Mg", "Mg"], "fractional_positions": [[0.000, 0.000, 0.000], [0.000, 0.000, 0.500], [0.234, 0.264, 0.499], [0.248, 0.751, 0.506], [0.249, 0.752, 0.994], [0.264, 0.234, 0.999], [0.736, 0.766, 0.001], [0.751, 0.248, 0.006], [0.752, 0.249, 0.494], [0.766, 0.736, 0.501], [0.000, 0.500, 0.000], [0.500, 0.000, 0.500], [0.500, 0.500, 0.000], [0.500, 0.500, 0.500], [0.000, 0.500, 0.500], [0.500, 0.000, 0.000]], "total_energy_ev_per_atom": -4.08, "ef_mev_per_atom": 306, "space_group": "No. 15", "magmom_total_mub_per_fu": 0.02}

---

No. 16
{"formula": "K3ErAl2O6", "functional": "PBE", "state": "relaxed", "lattice": [[6.014, 0.000, 0.000], [-3.007, 5.208, 0.000], [0.000, 0.000, 7.061]], "species": ["K", "K", "K", "Er", "Al", "Al", "O", "O", "O", "O", "O", "O"], "fractional_positions": [[0.000, 0.000, 0.000], [0.333, 0.667, 0.749], [0.667, 0.333, 0.251], [0.000, 0.000, 0.500], [0.333, 0.667, 0.298], [0.667, 0.333, 0.702], [0.170, 0.339, 0.299], [0.170, 0.830, 0.299], [0.339, 0.170, 0.701], [0.661, 0.830, 0.299], [0.830, 0.170, 0.701], [0.830, 0.661, 0.701]], "total_energy_ev_per_atom": -6.16, "e_form_raw_ev_per_atom": -2.40, "space_group": "No. 164", "magmom_total_mub_per_fu": 0.00}

---

No. 17
{"formula": "BaNaCd6", "functional": "PBE", "state": "relaxed", "lattice": [[5.025, 0.000, 0.000], [0.000, 7.227, 0.000], [0.000, 0.000, 6.189]], "species": ["Ba", "Na", "Cd", "Cd", "Cd", "Cd", "Cd", "Cd"], "fractional_positions": [[0.000, 0.000, 0.000], [0.500, 0.500, 0.260], [0.000, 0.271, 0.480], [0.000, 0.500, 0.933], [0.000, 0.729, 0.480], [0.500, 0.000, 0.434], [0.500, 0.293, 0.774], [0.500, 0.707, 0.774]], "total_energy_ev_per_atom": -1.26, "ef_mev_per_atom": -164, "space_group": "No. 25", "de_polymorph_mev_per_atom": 0.0, "magmom_total_mub_per_fu": 0.00}